Entry from OQMD: a relaxed Nd2GeAsPd2 crystal (PBE).

The total energy is -5.91 eV per atom.

a b c (Å): 4.3614 4.3614 8.0438
angles (deg): 90.00 90.00 120.00
Fractional coordinates of all 6 atoms:
Nd1 0.6667 0.3333 0.7514
Pd1 0.3333 0.6667 0.5000
As1 0.3333 0.6667 0.0000
Nd2 0.6667 0.3333 0.2486
Pd2 0.0000 0.0000 0.0000
Ge1 0.0000 0.0000 0.5000

***

Entry from OQMD: a relaxed NiGeAs crystal (PBE).

The energy above the most stable polymorph in this dataset is 0 meV/atom.

a b c (Å): 4.1151 4.1151 4.1151
angles (deg): 60.00 60.00 60.00
Fractional coordinates of all 3 atoms:
As1 0.2500 0.2500 0.2500
Ge1 0.7500 0.7500 0.7500
Ni1 0.0000 0.0000 0.0000

***

Entry from OQMD: a relaxed NiGe2As crystal (PBE).

The total energy is -4.56 eV per atom.

a b c (Å): 4.5224 4.5224 4.5224
angles (deg): 60.00 60.00 60.00
Fractional coordinates of all 4 atoms:
As1 0.5000 0.5000 0.5000
Ni1 0.2500 0.2500 0.2500
Ge1 0.7500 0.7500 0.7500
Ge2 0.0000 0.0000 0.0000

***

Entry from OQMD: a relaxed NiGeAs2 crystal (PBE).

The total energy is -4.51 eV per atom.

a b c (Å): 4.5473 4.5473 4.5473
angles (deg): 60.00 60.00 60.00
Fractional coordinates of all 4 atoms:
As1 0.0000 0.0000 0.0000
As2 0.2500 0.2500 0.2500
Ge1 0.5000 0.5000 0.5000
Ni1 0.7500 0.7500 0.7500

***

Entry from OQMD: a relaxed NpGeAs crystal (PBE).

The energy above the most stable polymorph in this dataset is 0 meV/atom.

a b c (Å): 4.6083 4.6083 4.6083
angles (deg): 60.00 60.00 60.00
Last column: magnetic moment on the atom in μB.
Fractional coordinates of all 3 atoms:
As1 0.2500 0.2500 0.2500  -0.03
Ge1 0.7500 0.7500 0.7500  -0.01
Np1 0.0000 0.0000 0.0000  3.22

***

Entry from OQMD: a relaxed NpGeAs crystal (PBE).

The energy above the most stable polymorph in this dataset is 22 meV/atom.

a b c (Å): 4.6584 4.6584 4.6584
angles (deg): 60.00 60.00 60.00
Fractional coordinates of all 3 atoms:
Np1 0.7500 0.7500 0.7500
As1 0.0000 0.0000 0.0000
Ge1 0.2500 0.2500 0.2500

***

Entry from OQMD: a relaxed GeAsOsO crystal (PBE).

The energy above the most stable polymorph in this dataset is 299 meV/atom.

a b c (Å): 3.8190 6.5853 5.2886
angles (deg): 90.00 90.00 90.00
Fractional coordinates of all 8 atoms:
As1 0.0000 0.1860 0.3720
Os1 0.5000 0.0353 0.5879
Os2 0.5000 0.9647 0.0879
O1 0.5000 0.2435 0.8770
Ge1 0.0000 0.3837 0.9171
Ge2 0.0000 0.6163 0.4171
O2 0.5000 0.7565 0.3770
As2 0.0000 0.8140 0.8720

***

Entry from OQMD: a relaxed GeAsOsO crystal (PBE).

The energy above the most stable polymorph in this dataset is 480 meV/atom.

a b c (Å): 3.7958 5.5901 6.7031
angles (deg): 90.00 90.00 90.00
Fractional coordinates of all 8 atoms:
Ge1 0.5000 0.6069 0.5387
As1 0.0000 0.2093 0.8198
Os1 0.0000 0.2075 0.4551
O1 0.5000 0.7906 0.9404
Os2 0.0000 0.7925 0.9551
O2 0.5000 0.2094 0.4404
As2 0.0000 0.7907 0.3198
Ge2 0.5000 0.3931 0.0387

***

Entry from OQMD: a relaxed GeAsOsO crystal (PBE).

The energy above the most stable polymorph in this dataset is 731 meV/atom.

a b c (Å): 3.4140 3.4140 10.4746
angles (deg): 90.00 90.00 90.00
Fractional coordinates of all 8 atoms:
O1 0.5000 0.5000 0.0000
O2 0.0000 0.0000 0.0000
Os1 0.0000 0.5000 0.8747
As1 0.5000 0.0000 0.7524
Ge1 0.5000 0.5000 0.5000
Ge2 0.0000 0.0000 0.5000
As2 0.0000 0.5000 0.2476
Os2 0.5000 0.0000 0.1253

***

Entry from OQMD: a relaxed GeAsOsO crystal (PBE).

The energy above the most stable polymorph in this dataset is 0 meV/atom.

a b c (Å): 3.7357 3.7357 9.8931
angles (deg): 90.00 90.00 90.00
Fractional coordinates of all 8 atoms:
O1 0.7500 0.2500 0.0000
O2 0.2500 0.7500 0.0000
Os1 0.2500 0.7500 0.5000
As1 0.7500 0.7500 0.3297
Ge1 0.7500 0.7500 0.8991
Ge2 0.2500 0.2500 0.1009
As2 0.2500 0.2500 0.6703
Os2 0.7500 0.2500 0.5000

***

Entry from OQMD: a relaxed PrGeAsO crystal (PBE).

The energy above the most stable polymorph in this dataset is 174 meV/atom.

a b c (Å): 4.4367 5.1044 6.7367
angles (deg): 90.00 90.00 90.00
Fractional coordinates of all 8 atoms:
Pr1 0.5000 0.2852 0.5927
Pr2 0.5000 0.7148 0.0927
As1 0.0000 0.3722 0.2865
Ge1 0.0000 0.8516 0.4453
Ge2 0.0000 0.1484 0.9453
As2 0.0000 0.6278 0.7865
O1 0.5000 0.1410 0.9295
O2 0.5000 0.8590 0.4295

***

Entry from OQMD: a relaxed PrGeAsO crystal (PBE).

The energy above the most stable polymorph in this dataset is 0 meV/atom.

a b c (Å): 4.2278 4.2278 9.2777
angles (deg): 90.00 90.00 90.00
Fractional coordinates of all 8 atoms:
Pr1 0.5000 0.0000 0.1203
Pr2 0.0000 0.5000 0.8797
As1 0.5000 0.0000 0.6907
Ge1 0.5000 0.5000 0.5000
O1 0.0000 0.0000 0.0000
Ge2 0.0000 0.0000 0.5000
As2 0.0000 0.5000 0.3093
O2 0.5000 0.5000 0.0000

***

Entry from OQMD: a relaxed PrGeAsO crystal (PBE).

The energy above the most stable polymorph in this dataset is 100 meV/atom.

a b c (Å): 3.9786 6.3743 7.1596
angles (deg): 90.00 90.00 90.00
Fractional coordinates of all 8 atoms:
Ge1 0.5000 0.6154 0.5773
Pr1 0.0000 0.2439 0.4702
Ge2 0.5000 0.3846 0.0773
Pr2 0.0000 0.7561 0.9702
As1 0.0000 0.7695 0.4007
O1 0.5000 0.2386 0.3058
O2 0.5000 0.7614 0.8058
As2 0.0000 0.2305 0.9007